# 1
La2UNiSe5 | PBE-GGA | relaxed

Structure (CIF):
```
data_La2UNiSe5
_cell_length_a 4.044
_cell_length_b 17.423
_cell_length_c 12.619
_cell_angle_alpha 90.00
_cell_angle_beta 90.00
_cell_angle_gamma 90.00
_symmetry_space_group_name_H-M 'C m c 21'
_symmetry_Int_Tables_number 36
loop_
_symmetry_equiv_pos_as_xyz
'x,y,z'
'-x,-y,z+1/2'
'-x,y,z'
'x,-y,z+1/2'
'x+1/2,y+1/2,z'
'-x+1/2,-y+1/2,z+1/2'
'-x+1/2,y+1/2,z'
'x+1/2,-y+1/2,z+1/2'
loop_
_atom_site_label
_atom_site_type_symbol
_atom_site_fract_x
_atom_site_fract_y
_atom_site_fract_z
La1 La 0.000 0.110 0.000
La2 La 0.000 0.120 0.351
U1 U 0.000 0.177 0.675
Ni1 Ni 0.000 0.438 0.074
Se1 Se 0.000 0.020 0.664
Se2 Se 0.000 0.306 0.337
Se3 Se 0.000 0.308 0.014
Se4 Se 0.000 0.343 0.673
Se5 Se 0.000 0.499 0.405
```

Values from the calculation:
VASP energy ... -6.41 eV per atom
E_form (uncorrected) ... -1485 meV per atom
Total magnetization ... 1.88 μB/f.u.

=====

# 2
Zr2FeOsN | PBE-GGA | relaxed

Structure (CIF):
```
data_Zr2FeOsN
_cell_length_a 4.557
_cell_length_b 4.557
_cell_length_c 3.612
_cell_angle_alpha 90.00
_cell_angle_beta 90.00
_cell_angle_gamma 90.00
_symmetry_space_group_name_H-M 'P 4/m m m'
_symmetry_Int_Tables_number 123
_symmetry_space_group_name_Hall '-P 4 2'
loop_
_atom_site_label
_atom_site_type_symbol
_atom_site_fract_x
_atom_site_fract_y
_atom_site_fract_z
Zr1 Zr 0.000 0.500 0.000
Fe1 Fe 0.000 0.000 0.500
Os1 Os 0.500 0.500 0.500
N1 N 0.000 0.000 0.000
```

Values from the calculation:
VASP energy ... -9.67 eV per atom
E_form (uncorrected) ... -644 meV per atom
Total magnetization ... 1.69 μB/f.u.

=====

# 3
TiReNi3 | PBE-GGA | relaxed

Structure (CIF):
```
data_TiReNi3
_cell_length_a 4.445
_cell_length_b 4.445
_cell_length_c 4.445
_cell_angle_alpha 90.00
_cell_angle_beta 90.00
_cell_angle_gamma 90.00
_symmetry_space_group_name_H-M 'P m -3 m'
_symmetry_Int_Tables_number 221
_symmetry_space_group_name_Hall '-P 4 2 3'
loop_
_atom_site_label
_atom_site_type_symbol
_atom_site_fract_x
_atom_site_fract_y
_atom_site_fract_z
Ti1 Ti 0.000 0.000 0.000
Re1 Re 0.500 0.500 0.500
Ni1 Ni 0.000 0.500 0.500
```

Values from the calculation:
VASP energy ... -6.38 eV per atom
Energy above the lowest structure with this stoichiometry ... 0.000 eV per atom
Total magnetization ... 0.00 μB/f.u.

=====

# 4
Pm12HoTm3 | PBE-GGA | relaxed

Structure (CIF):
```
data_Pm12HoTm3
_cell_length_a 5.109
_cell_length_b 5.109
_cell_length_c 20.377
_cell_angle_alpha 90.00
_cell_angle_beta 90.00
_cell_angle_gamma 90.00
_symmetry_space_group_name_H-M 'P 4/m m m'
_symmetry_Int_Tables_number 123
_symmetry_space_group_name_Hall '-P 4 2'
loop_
_atom_site_label
_atom_site_type_symbol
_atom_site_fract_x
_atom_site_fract_y
_atom_site_fract_z
Pm1 Pm 0.000 0.000 0.000
Pm2 Pm 0.000 0.000 0.250
Pm3 Pm 0.000 0.000 0.500
Pm4 Pm 0.000 0.500 0.125
Pm5 Pm 0.000 0.500 0.375
Ho1 Ho 0.500 0.500 0.000
Tm1 Tm 0.500 0.500 0.250
Tm2 Tm 0.500 0.500 0.500
```

Values from the calculation:
VASP energy ... -4.67 eV per atom
Total magnetization ... 0.00 μB/f.u.

=====

# 5
LuZnInAg | PBE-GGA | relaxed

Structure (CIF):
```
data_LuZnInAg
_cell_length_a 6.863
_cell_length_b 6.863
_cell_length_c 6.863
_cell_angle_alpha 90.00
_cell_angle_beta 90.00
_cell_angle_gamma 90.00
_symmetry_space_group_name_H-M 'F -4 3 m'
_symmetry_Int_Tables_number 216
_symmetry_space_group_name_Hall 'F -4 2 3'
loop_
_atom_site_label
_atom_site_type_symbol
_atom_site_fract_x
_atom_site_fract_y
_atom_site_fract_z
Lu1 Lu 0.000 0.000 0.000
Zn1 Zn 0.250 0.250 0.750
In1 In 0.000 0.000 0.500
Ag1 Ag 0.250 0.250 0.250
```

Values from the calculation:
VASP energy ... -3.12 eV per atom
Total magnetization ... 0.00 μB/f.u.

=====

# 6
Nd8Te4Pt3Cl | PBE-GGA | relaxed

Structure (CIF):
```
data_Nd8Te4Pt3Cl
_cell_length_a 8.5801
_cell_length_b 8.5801
_cell_length_c 22.3995
_cell_angle_alpha 90.00
_cell_angle_beta 90.00
_cell_angle_gamma 120.00
_symmetry_space_group_name_H-M 'R -3 m'
_symmetry_Int_Tables_number 166
_symmetry_space_group_name_Hall '-R 3 2"'
loop_
_atom_site_label
_atom_site_type_symbol
_atom_site_fract_x
_atom_site_fract_y
_atom_site_fract_z
Nd1 Nd 0.0000 0.0000 0.2367
Nd2 Nd 0.0132 0.5066 0.7588
Te1 Te 0.0000 0.0000 0.0000
Te2 Te 0.0000 0.5000 0.0000
Pt1 Pt 0.0000 0.5000 0.5000
Cl1 Cl 0.0000 0.0000 0.5000
```

Values from the calculation:
VASP energy ... -5.72 eV per atom
E_form (uncorrected) ... -1307 meV per atom
Total magnetization ... 0.00 μB/f.u.

=====

# 7
AlNF4 | PBE-GGA | relaxed

Structure (CIF):
```
data_AlNF4
_cell_length_a 3.625
_cell_length_b 3.625
_cell_length_c 6.254
_cell_angle_alpha 90.00
_cell_angle_beta 90.00
_cell_angle_gamma 90.00
_symmetry_space_group_name_H-M 'P 4/m m m'
_symmetry_Int_Tables_number 123
_symmetry_space_group_name_Hall '-P 4 2'
loop_
_atom_site_label
_atom_site_type_symbol
_atom_site_fract_x
_atom_site_fract_y
_atom_site_fract_z
Al1 Al 0.000 0.000 0.000
N1 N 0.500 0.500 0.500
F1 F 0.000 0.000 0.288
F2 F 0.000 0.500 0.000
```

Values from the calculation:
VASP energy ... -4.67 eV per atom
Energy above the lowest structure with this stoichiometry ... 0.004 eV per atom
E_form (uncorrected) ... -1412 meV per atom
Total magnetization ... 2.00 μB/f.u.

=====

# 8
TaBr | PBE-GGA | relaxed

Structure (CIF):
```
data_TaBr
_cell_length_a 8.616
_cell_length_b 8.616
_cell_length_c 8.616
_cell_angle_alpha 90.00
_cell_angle_beta 90.00
_cell_angle_gamma 90.00
_symmetry_space_group_name_H-M 'I -4 3 m'
_symmetry_Int_Tables_number 217
_symmetry_space_group_name_Hall 'I -4 2 3'
loop_
_atom_site_label
_atom_site_type_symbol
_atom_site_fract_x
_atom_site_fract_y
_atom_site_fract_z
Ta1 Ta 0.107 0.107 0.893
Br1 Br 0.207 0.207 0.207
```

Values from the calculation:
VASP energy ... -6.14 eV per atom
E_form (uncorrected) ... 625 meV per atom
Total magnetization ... 0.90 μB/f.u.

=====

Q: Which value of VASP energy does entry 7 give?
A: -4.67 eV per atom

=====

Q: Which of these has the lowest VASP energy?
A: Zr2FeOsN

=====

Q: VASP energy of number 1 (La2UNiSe5)?
A: -6.41 eV per atom